# 1
## LiPmCo2P2 (PBE)

Data for an optimized crystal structure of LiPmCo2P2.

Computed properties:
SG: P-3m1 (164)

abc: 3.877 3.877 6.545
angles: 90.00 90.00 120.00
Sites, in units of the cell vectors:
Li  0.000  0.000  0.500
Pm  0.000  0.000  0.000
Co  0.333  0.667  0.632
Co  0.667  0.333  0.368
P  0.333  0.667  0.290
P  0.667  0.333  0.710

***

# 2
## LiCoPRh (PBE)

Data for an optimized crystal structure of LiCoPRh.

Computed properties:
SG: F-43m (216)

abc: 3.953 3.953 3.953
angles: 60.00 60.00 60.00
Sites, in units of the cell vectors:
Co  0.750  0.750  0.750
Li  0.000  0.000  0.000
Rh  0.250  0.250  0.250
P  0.500  0.500  0.500

***

# 3
## LiCoPS2 (PBE)

Data for an optimized crystal structure of LiCoPS2.

Computed properties:
Uncorrected formation energy (kJ/mol of formula units): 467.1
SG: P4/mmm (123)
Energy above the most stable polymorph in this dataset (eV/atom): 0.8730

abc: 4.331 4.331 4.133
angles: 90.00 90.00 90.00
Sites, in units of the cell vectors:
P  0.000  0.000  0.500
S  0.000  0.500  0.000
S  0.500  0.000  0.000
Co  0.500  0.500  0.500
Li  0.000  0.000  0.000

***

# 4
## LiCoP2S (PBE)

Data for an optimized crystal structure of LiCoP2S.

Computed properties:
Uncorrected formation energy (kJ/mol of formula units): 483.8
SG: P4/mmm (123)
Energy above the most stable polymorph in this dataset (eV/atom): 0.8827

abc: 4.214 4.214 4.445
angles: 90.00 90.00 90.00
Site moments in Bohr magnetons follow the coordinates.
Sites, in units of the cell vectors:
P  0.000  0.500  0.000  -0.05
P  0.500  0.000  0.000  -0.05
S  0.000  0.000  0.500  -0.02
Co  0.500  0.500  0.500  1.86
Li  0.000  0.000  0.000  0.00

***

# 5
## LiCoP2S (PBE)

Data for an optimized crystal structure of LiCoP2S.

Computed properties:
Uncorrected formation energy (kJ/mol of formula units): 57.9
SG: P4/mmm (123)
Energy above the most stable polymorph in this dataset (eV/atom): 0.0000

abc: 4.179 4.179 5.227
angles: 90.00 90.00 90.00
Sites, in units of the cell vectors:
P  0.000  0.500  0.000
P  0.500  0.000  0.000
S  0.000  0.000  0.500
Co  0.000  0.000  0.000
Li  0.500  0.500  0.500

***

# 6
## LiCoPS2 (PBE)

Data for an optimized crystal structure of LiCoPS2.

Computed properties:
Uncorrected formation energy (kJ/mol of formula units): 45.9
SG: P4/mmm (123)
Energy above the most stable polymorph in this dataset (eV/atom): 0.0000

abc: 4.702 4.702 4.101
angles: 90.00 90.00 90.00
Site moments in Bohr magnetons follow the coordinates.
Sites, in units of the cell vectors:
P  0.000  0.000  0.500  0.00
S  0.000  0.500  0.000  0.05
S  0.500  0.000  0.000  0.05
Co  0.000  0.000  0.000  0.20
Li  0.500  0.500  0.500  0.00

***

# 7
## LiCoTcP2 (PBE)

Data for an optimized crystal structure of LiCoTcP2.

Computed properties:
SG: I-4m2 (119)
Energy above the most stable polymorph in this dataset (eV/atom): 0.0000

abc: 3.907 3.907 5.381
angles: 111.29 111.29 90.00
Sites, in units of the cell vectors:
Li  0.000  0.000  0.000
Co  0.250  0.750  0.500
Tc  0.750  0.250  0.500
P  0.623  0.623  0.246
P  0.377  0.377  0.754

***

# 8
## LiCoTcP (PBE)

Data for an optimized crystal structure of LiCoTcP.

Computed properties:
SG: F-43m (216)

abc: 3.968 3.968 3.968
angles: 60.00 60.00 60.00
Sites, in units of the cell vectors:
P  0.000  0.000  0.000
Co  0.750  0.750  0.750
Tc  0.250  0.250  0.250
Li  0.500  0.500  0.500

***

# 9
## LiCoTcP2 (PBE)

Data for an optimized crystal structure of LiCoTcP2.

Computed properties:
SG: P4/mmm (123)
Energy above the most stable polymorph in this dataset (eV/atom): 1.1040

abc: 4.261 3.948 4.261
angles: 90.00 90.00 90.00
Site moments in Bohr magnetons follow the coordinates.
Sites, in units of the cell vectors:
P  0.000  0.000  0.500  -0.02
P  0.500  0.000  0.000  -0.04
Co  0.000  0.000  0.000  0.04
Tc  0.500  0.500  0.500  2.06
Li  0.000  0.500  0.000  0.00

***

# 10
## LiTh2Co4P3 (PBE)

Data for an optimized crystal structure of LiTh2Co4P3.

Computed properties:
SG: P-4m2 (115)

abc: 3.942 3.942 9.466
angles: 90.00 90.00 90.00
Site moments in Bohr magnetons follow the coordinates.
Sites, in units of the cell vectors:
Li  0.500  0.500  0.500  0.00
Th  0.500  0.000  0.249  -0.02
Th  0.000  0.500  0.751  -0.02
Co  0.500  0.500  0.000  0.57
Co  0.000  0.000  0.000  0.62
Co  0.500  0.000  0.630  -0.04
Co  0.000  0.500  0.370  -0.04
P  0.000  0.000  0.500  0.00
P  0.500  0.000  0.871  0.01
P  0.000  0.500  0.129  0.01

***

# 11
## LiCoP2W (PBE)

Data for an optimized crystal structure of LiCoP2W.

Computed properties:
SG: P4/mmm (123)

abc: 4.240 4.632 4.240
angles: 90.00 90.00 90.00
Site moments in Bohr magnetons follow the coordinates.
Sites, in units of the cell vectors:
P  0.000  0.000  0.500  -0.01
P  0.500  0.000  0.000  -0.02
Co  0.000  0.000  0.000  -0.16
W  0.000  0.500  0.000  0.54
Li  0.500  0.500  0.500  0.00

***

# 12
## LiPaCo4 (PBE)

Data for an optimized crystal structure of LiPaCo4.

Computed properties:
SG: F-43m (216)

abc: 4.827 4.827 4.827
angles: 60.00 60.00 60.00
Site moments in Bohr magnetons follow the coordinates.
Sites, in units of the cell vectors:
Pa  0.250  0.250  0.250  -0.15
Co  0.626  0.626  0.122  0.20
Co  0.626  0.122  0.626  0.20
Co  0.626  0.626  0.626  0.20
Co  0.122  0.626  0.626  0.20
Li  0.000  0.000  0.000  -0.01

***

E in eV per atom, matching the order above: -6.188, -5.967, -3.569, -3.791, -4.673, -4.442, -6.636, -6.477, -5.532, -7.018, -5.704, -6.807